# 1
Computed, not measured: a geometry-optimized CaZn2Br structure at the GGA-PBEsol level of DFT.

Cell: 3.943 4.041 5.642 Å, 90.00 90.00 90.00°
Space group Pmmm (No. 47)
Asymmetric unit:
Ca: 0.000 0.000 0.000 (multiplicity 1)
Zn: 0.000 0.500 0.500 (multiplicity 1)
Zn: 0.500 0.000 0.500 (multiplicity 1)
Br: 0.500 0.500 0.000 (multiplicity 1)

**Crystal system**: orthorhombic
**Distance to the lowest polymorph of the same formula**: 0.000 eV/atom

***

# 2
Computed, not measured: a geometry-optimized CaZn2Br structure at the GGA-PBEsol level of DFT.

Cell: 4.271 4.271 5.488 Å, 90.00 90.00 90.00°
Space group P4/mmm (No. 123)
Asymmetric unit:
Ca: 0.000 0.000 0.000 (multiplicity 1)
Zn: 0.500 0.500 0.261 (multiplicity 2)
Br: 0.000 0.000 0.500 (multiplicity 1)

**Crystal system**: tetragonal
**Distance to the lowest polymorph of the same formula**: 0.162 eV/atom

***

# 3
Computed, not measured: a geometry-optimized Ca2ZnBr structure at the GGA-PBEsol level of DFT.

Cell: 4.816 3.744 11.871 Å, 90.00 90.00 90.00°
Space group Amm2 (No. 38)
Asymmetric unit:
Ca: 0.000 0.000 0.000 (multiplicity 2)
Ca: 0.500 0.000 0.258 (multiplicity 2)
Zn: 0.500 0.000 0.516 (multiplicity 2)
Br: 0.000 0.000 0.746 (multiplicity 2)

**Crystal system**: orthorhombic
**Distance to the lowest polymorph of the same formula**: 0.050 eV/atom

***

# 4
Computed, not measured: a geometry-optimized Ca2ZnBr structure at the GGA-PBEsol level of DFT.

Cell: 4.229 4.229 6.114 Å, 90.00 90.00 90.00°
Space group P4/mmm (No. 123)
Asymmetric unit:
Ca: 0.000 0.000 0.000 (multiplicity 1)
Ca: 0.500 0.500 0.500 (multiplicity 1)
Zn: 0.000 0.000 0.500 (multiplicity 1)
Br: 0.500 0.500 0.000 (multiplicity 1)

**Crystal system**: tetragonal
**Distance to the lowest polymorph of the same formula**: 0.000 eV/atom

***

# 5
Computed, not measured: a geometry-optimized Ca3ZnBr structure at the GGA-PBEsol level of DFT.

Cell: 5.458 5.458 5.458 Å, 90.00 90.00 90.00°
Space group Pm-3m (No. 221)
Asymmetric unit:
Ca: 0.000 0.000 0.500 (multiplicity 3)
Zn: 0.500 0.500 0.500 (multiplicity 1)
Br: 0.000 0.000 0.000 (multiplicity 1)

**Crystal system**: cubic

***

# 6
Computed, not measured: a geometry-optimized Ca2ZnBr structure at the GGA-PBEsol level of DFT.

Cell: 4.255 4.255 12.205 Å, 90.00 90.00 90.00°
Space group I-4m2 (No. 119)
Asymmetric unit:
Ca: 0.000 0.000 0.000 (multiplicity 2)
Ca: 0.000 0.500 0.250 (multiplicity 2)
Zn: 0.000 0.000 0.500 (multiplicity 2)
Br: 0.000 0.500 0.750 (multiplicity 2)

**Crystal system**: tetragonal
**Distance to the lowest polymorph of the same formula**: 0.159 eV/atom

***

# 7
Computed, not measured: a geometry-optimized CaZrBr2 structure at the GGA-PBEsol level of DFT.

Cell: 3.389 4.570 6.406 Å, 90.00 90.00 90.00°
Space group Pmmm (No. 47)
Asymmetric unit:
Ca: 0.000 0.000 0.000 (multiplicity 1)
Zr: 0.500 0.000 0.500 (multiplicity 1)
Br: 0.000 0.500 0.500 (multiplicity 1)
Br: 0.500 0.500 0.000 (multiplicity 1)

**Crystal system**: orthorhombic
**Distance to the lowest polymorph of the same formula**: 0.053 eV/atom

***

# 8
Computed, not measured: a geometry-optimized CaZrBr2 structure at the GGA-PBEsol level of DFT.

Cell: 4.984 4.984 17.750 Å, 90.00 90.00 90.00°
Space group I-42d (No. 122)
Asymmetric unit:
Ca: 0.000 0.000 0.000 (multiplicity 4)
Zr: 0.000 0.000 0.500 (multiplicity 4)
Br: 0.218 0.250 0.625 (multiplicity 8)

**Crystal system**: tetragonal
**Distance to the lowest polymorph of the same formula**: 0.170 eV/atom

***

# 9
Computed, not measured: a geometry-optimized CaZrBr2 structure at the GGA-PBEsol level of DFT.

Cell: 3.374 6.421 9.272 Å, 90.00 90.00 90.00°
Space group Cmmm (No. 65)
Asymmetric unit:
Ca: 0.000 0.000 0.000 (multiplicity 2)
Zr: 0.000 0.000 0.500 (multiplicity 2)
Br: 0.000 0.500 0.263 (multiplicity 4)

**Crystal system**: orthorhombic
**Distance to the lowest polymorph of the same formula**: 0.000 eV/atom

***

# 10
Computed, not measured: a geometry-optimized CaZrBr2 structure at the GGA-PBEsol level of DFT.

Cell: 6.999 9.006 3.463 Å, 90.00 117.95 90.00°
Space group C2/m (No. 12)
Asymmetric unit:
Ca: 0.000 0.000 0.000 (multiplicity 2)
Zr: 0.000 0.500 0.000 (multiplicity 2)
Br: 0.250 0.250 0.000 (multiplicity 4)

**Crystal system**: monoclinic
**Distance to the lowest polymorph of the same formula**: 0.040 eV/atom

***

# 11
Computed, not measured: a geometry-optimized CaZrBr3 structure at the GGA-PBEsol level of DFT.

Cell: 5.427 5.427 5.427 Å, 90.00 90.00 90.00°
Space group Pm-3m (No. 221)
Asymmetric unit:
Ca: 0.000 0.000 0.000 (multiplicity 1)
Zr: 0.500 0.500 0.500 (multiplicity 1)
Br: 0.000 0.000 0.500 (multiplicity 3)

**Crystal system**: cubic

***

# 12
Computed, not measured: a geometry-optimized Cd3Br structure at the GGA-PBEsol level of DFT.

Cell: 5.874 8.694 3.729 Å, 90.00 90.00 90.00°
Space group Cmmm (No. 65)
Asymmetric unit:
Cd: 0.000 0.000 0.000 (multiplicity 2)
Cd: 0.250 0.250 0.500 (multiplicity 4)
Br: 0.000 0.500 0.000 (multiplicity 2)

**Crystal system**: orthorhombic
**Distance to the lowest polymorph of the same formula**: 0.019 eV/atom

***

# 13
Computed, not measured: a geometry-optimized CdBr2 structure at the GGA-PBEsol level of DFT.

Cell: 4.5816 4.5816 8.9336 Å, 90.00 90.00 120.00°
Space group P6_3/mmc (No. 194)
Asymmetric unit:
Cd: 0.3333 0.6667 0.2500 (multiplicity 2)
Br: 0.0000 0.0000 0.0000 (multiplicity 2)
Br: 0.3333 0.6667 0.7500 (multiplicity 2)

**Crystal system**: hexagonal

***

# 14
Computed, not measured: a geometry-optimized Cd3Br structure at the GGA-PBEsol level of DFT.

Cell: 3.436 5.749 9.685 Å, 90.00 90.00 90.00°
Space group Immm (No. 71)
Asymmetric unit:
Cd: 0.000 0.000 0.000 (multiplicity 2)
Cd: 0.000 0.500 0.256 (multiplicity 4)
Br: 0.000 0.000 0.500 (multiplicity 2)

**Crystal system**: orthorhombic
**Distance to the lowest polymorph of the same formula**: 0.000 eV/atom

***

# 15
Computed, not measured: a geometry-optimized CdBr2 structure at the GGA-PBEsol level of DFT.

Cell: 3.9612 3.9612 38.3307 Å, 90.00 90.00 120.00°
Space group R-3m (No. 166, hexagonal axes)
Asymmetric unit:
Cd: 0.0000 0.0000 0.0000 (multiplicity 3)
Cd: 0.0000 0.0000 0.5000 (multiplicity 3)
Br: 0.0000 0.0000 0.1259 (multiplicity 6)
Br: 0.0000 0.0000 0.2925 (multiplicity 6)

**Crystal system**: trigonal

***

# 16
Computed, not measured: a geometry-optimized CdBr2 structure at the GGA-PBEsol level of DFT.

Cell: 3.901 17.485 5.756 Å, 90.00 90.00 90.00°
Space group Cmcm (No. 63)
Asymmetric unit:
Cd: 0.000 0.178 0.250 (multiplicity 4)
Br: 0.000 0.204 0.750 (multiplicity 4)
Br: 0.000 0.422 0.750 (multiplicity 4)

**Crystal system**: orthorhombic

***

# 17
Computed, not measured: a geometry-optimized CdBr2 structure at the GGA-PBEsol level of DFT.

Cell: 3.660 25.910 3.759 Å, 90.00 90.00 90.00°
Space group Cmcm (No. 63)
Asymmetric unit:
Cd: 0.000 0.121 0.250 (multiplicity 4)
Br: 0.000 0.306 0.750 (multiplicity 4)
Br: 0.000 0.431 0.250 (multiplicity 4)

**Crystal system**: orthorhombic

***

# 18
Computed, not measured: a geometry-optimized CdBr8 structure at the GGA-PBEsol level of DFT.

Cell: 15.816 15.816 2.682 Å, 90.00 90.00 90.00°
Space group I4/mmm (No. 139)
Asymmetric unit:
Cd: 0.000 0.000 0.000 (multiplicity 2)
Br: 0.000 0.329 0.000 (multiplicity 8)
Br: 0.116 0.116 0.500 (multiplicity 8)

**Crystal system**: tetragonal

***

# 19
Computed, not measured: a geometry-optimized CdBr2 structure at the GGA-PBEsol level of DFT.

Cell: 6.291 6.727 4.022 Å, 90.00 90.00 90.00°
Space group Pnnm (No. 58)
Asymmetric unit:
Cd: 0.000 0.000 0.000 (multiplicity 2)
Br: 0.244 0.152 0.500 (multiplicity 4)

**Crystal system**: orthorhombic

***

# 20
Computed, not measured: a geometry-optimized CdBrCl2 structure at the GGA-PBEsol level of DFT.

Cell: 3.6760 3.6760 28.8124 Å, 90.00 90.00 120.00°
Space group R-3m (No. 166, hexagonal axes)
Asymmetric unit:
Cd: 0.0000 0.0000 0.0000 (multiplicity 3)
Br: 0.0000 0.0000 0.5000 (multiplicity 3)
Cl: 0.0000 0.0000 0.2809 (multiplicity 6)

**Crystal system**: trigonal
**Distance to the lowest polymorph of the same formula**: 0.000 eV/atom

***

# 21
Computed, not measured: a geometry-optimized Cd2BrCl structure at the GGA-PBEsol level of DFT.

Cell: 7.177 7.177 7.177 Å, 90.00 90.00 90.00°
Space group F-43m (No. 216)
Asymmetric unit:
Cd: 0.000 0.000 0.000 (multiplicity 4)
Cd: 0.250 0.250 0.250 (multiplicity 4)
Br: 0.000 0.000 0.500 (multiplicity 4)
Cl: 0.250 0.250 0.750 (multiplicity 4)

**Crystal system**: cubic
**Distance to the lowest polymorph of the same formula**: 0.529 eV/atom

***

# 22
Computed, not measured: a geometry-optimized Cd2BrCl structure at the GGA-PBEsol level of DFT.

Cell: 4.050 4.051 6.174 Å, 90.00 90.00 90.00°
Space group Pmmm (No. 47)
Asymmetric unit:
Cd: 0.000 0.000 0.000 (multiplicity 1)
Cd: 0.000 0.500 0.500 (multiplicity 1)
Br: 0.500 0.000 0.500 (multiplicity 1)
Cl: 0.500 0.500 0.000 (multiplicity 1)

**Crystal system**: orthorhombic
**Distance to the lowest polymorph of the same formula**: 0.350 eV/atom

***

# 23
Computed, not measured: a geometry-optimized Cd2BrCl structure at the GGA-PBEsol level of DFT.

Cell: 3.7396 3.7396 25.5740 Å, 90.00 90.00 120.00°
Space group R3m (No. 160, hexagonal axes)
Asymmetric unit:
Cd: 0.0000 0.0000 0.0000 (multiplicity 3)
Cd: 0.0000 0.0000 0.2523 (multiplicity 3)
Br: 0.0000 0.0000 0.5190 (multiplicity 3)
Cl: 0.0000 0.0000 0.7265 (multiplicity 3)

**Crystal system**: trigonal
**Distance to the lowest polymorph of the same formula**: 0.000 eV/atom

***

# 24
Computed, not measured: a geometry-optimized CdBrCl2 structure at the GGA-PBEsol level of DFT.

Cell: 10.536 3.667 5.524 Å, 90.00 105.49 90.00°
Space group Cm (No. 8)
Asymmetric unit:
Cd: 0.000 0.000 0.000 (multiplicity 2)
Br: 0.209 0.500 0.029 (multiplicity 2)
Cl: 0.032 0.500 0.358 (multiplicity 2)
Cl: 0.368 0.000 0.700 (multiplicity 2)

**Crystal system**: monoclinic
**Distance to the lowest polymorph of the same formula**: 0.056 eV/atom

***

# 25
Computed, not measured: a geometry-optimized CdBr3Cl structure at the GGA-PBEsol level of DFT.

Cell: 5.228 5.228 5.228 Å, 90.00 90.00 90.00°
Space group Pm-3m (No. 221)
Asymmetric unit:
Cd: 0.000 0.000 0.000 (multiplicity 1)
Br: 0.000 0.500 0.500 (multiplicity 3)
Cl: 0.500 0.500 0.500 (multiplicity 1)

**Crystal system**: cubic

***

# 26
Computed, not measured: a geometry-optimized CdPb2BrCl structure at the GGA-PBEsol level of DFT.

Cell: 5.578 5.578 6.104 Å, 90.00 90.00 90.00°
Space group P4/mmm (No. 123)
Asymmetric unit:
Cd: 0.000 0.000 0.000 (multiplicity 1)
Pb: 0.000 0.500 0.500 (multiplicity 2)
Br: 0.500 0.500 0.500 (multiplicity 1)
Cl: 0.500 0.500 0.000 (multiplicity 1)

**Crystal system**: tetragonal

***

# 27
Computed, not measured: a geometry-optimized CdCoBr structure at the GGA-PBEsol level of DFT.

Cell: 6.153 6.153 6.153 Å, 90.00 90.00 90.00°
Space group F-43m (No. 216)
Asymmetric unit:
Cd: 0.000 0.000 0.000 (multiplicity 4)
Co: 0.250 0.250 0.750 (multiplicity 4)
Br: 0.000 0.000 0.500 (multiplicity 4)

**Crystal system**: cubic

***

# 28
Computed, not measured: a geometry-optimized CdCo3Br structure at the GGA-PBEsol level of DFT.

Cell: 4.719 4.719 4.719 Å, 90.00 90.00 90.00°
Space group Pm-3m (No. 221)
Asymmetric unit:
Cd: 0.000 0.000 0.000 (multiplicity 1)
Co: 0.000 0.000 0.500 (multiplicity 3)
Br: 0.500 0.500 0.500 (multiplicity 1)

**Crystal system**: cubic
**Distance to the lowest polymorph of the same formula**: 0.791 eV/atom

***

# 29
Computed, not measured: a geometry-optimized CdCo3Br structure at the GGA-PBEsol level of DFT.

Cell: 4.269 4.269 4.269 Å, 90.00 90.00 90.00°
Space group Pm-3m (No. 221)
Asymmetric unit:
Cd: 0.000 0.000 0.000 (multiplicity 1)
Co: 0.000 0.500 0.500 (multiplicity 3)
Br: 0.500 0.500 0.500 (multiplicity 1)

**Crystal system**: cubic
**Distance to the lowest polymorph of the same formula**: 0.000 eV/atom

***

| no. | formation energy without anion corrections (eV/atom) |
| --- | --- |
| 1 | -0.43 |
| 2 | -0.26 |
| 3 | -0.66 |
| 4 | -0.71 |
| 5 | -0.22 |
| 6 | -0.55 |
| 7 | -0.66 |
| 8 | -0.54 |
| 9 | -0.71 |
| 10 | -0.67 |
| 11 | -0.51 |
| 12 | -0.03 |
| 13 | -0.42 |
| 14 | -0.05 |
| 15 | -0.84 |
| 16 | -0.78 |
| 17 | -0.64 |
| 18 | 0.03 |
| 19 | -0.78 |
| 20 | -0.54 |
| 21 | -0.08 |
| 22 | -0.26 |
| 23 | -0.61 |
| 24 | -0.48 |
| 25 | 0.27 |
| 26 | 0.32 |
| 27 | 0.55 |
| 28 | 1.76 |
| 29 | 0.97 |